VASP calculation (PBE) on an optimized crystal structure of CaSm7Mg4.

Structure (CIF):
```
data_CaSm7Mg4
_chemical_formula_sum 'Ca2 Sm14 Mg8'
_symmetry_space_group_name_H-M 'C 1 2/m 1'
_symmetry_Int_Tables_number 12
_cell_length_a 15.311
_cell_length_b 5.853
_cell_length_c 9.797
_cell_angle_alpha 90.00
_cell_angle_beta 121.09
_cell_angle_gamma 90.00
loop_
_symmetry_equiv_pos_as_xyz
'x,y,z'
'-x,-y,-z'
'-x,y,-z'
'x,-y,z'
'x+1/2,y+1/2,z'
'-x+1/2,-y+1/2,-z'
'-x+1/2,y+1/2,-z'
'x+1/2,-y+1/2,z'
loop_
_atom_site_label
_atom_site_fract_x
_atom_site_fract_y
_atom_site_fract_z
_atom_site_occupancy
Ca1 0.000 0.000 0.000 1
Sm1 0.000 0.500 0.000 1
Sm2 0.085 0.000 0.435 1
Sm3 0.200 0.000 0.877 1
Sm4 0.248 0.500 0.712 1
Mg1 0.038 0.500 0.694 1
Mg2 0.174 0.500 0.345 1
```

Output
The density of states at the Fermi level comes out at 1.086 states/eV per atom. Its formation energy is 15.8 kJ per mole of atoms. The calculation puts the magnetization at 0.00 μB per cell.